Entry from the Alexandria database: an optimized crystal structure of Mg6CrCoO8 (PBE with a Hubbard U).

```
16
Lattice="4.280 0.000 0.000 0.000 4.280 0.000 0.000 0.000 8.552" Properties=species:S:1:pos:R:3 pbc="T T T"
Mg 0.000 0.000 0.000
Mg 0.000 0.000 4.276
Mg 0.000 2.140 2.103
Mg 0.000 2.140 6.449
Mg 2.140 0.000 2.103
Mg 2.140 0.000 6.449
Cr 2.140 2.140 4.276
Co 2.140 2.140 0.000
O 0.000 0.000 2.138
O 0.000 0.000 6.414
O 0.000 2.140 0.000
O 0.000 2.140 4.276
O 2.140 0.000 0.000
O 2.140 0.000 4.276
O 2.140 2.140 2.227
O 2.140 2.140 6.325
```

Properties
offset from the most stable computed form	0.00	eV per formula unit
SG	P4/mmm
calculated total energy	-6.20	eV/atom